<1>
A plane-wave DFT calculation with PBE was carried out for crystalline La2Pr3Tm at its relaxed geometry.

a b c (Å): 6.960 17.789 3.450
angles (deg): 90.00 90.00 90.00
Space group Pnnm (No. 58)
One atom of each set of equivalent atoms:
La: 0.243 0.160 0.000 x4
Pr: 0.000 0.000 0.500 x2
Pr: 0.243 0.831 0.000 x4
Tm: 0.000 0.500 0.500 x2

Results
For the density, the calculation gives 6.76 Mg/m³.

<2>
A plane-wave DFT calculation with PBE was carried out for crystalline La2Pr3Tm at its relaxed geometry.

a b c (Å): 6.4201 6.4201 11.9283
angles (deg): 90.00 90.00 120.00
Space group P6_3/mcm (No. 193)
One atom of each set of equivalent atoms:
La: 0.3333 0.6667 0.0000 x4
Pr: 0.0000 0.3258 0.2500 x6
Tm: 0.0000 0.0000 0.0000 x2

Results
For the density, the calculation gives 6.78 Mg/m³.

Stability, descending: <2>, <1>

<1>
A plane-wave DFT calculation with PBE was carried out for crystalline La4Pr6Tm at its relaxed geometry.

a b c (Å): 6.846 6.846 17.021
angles (deg): 90.00 90.00 90.00
Space group I-42m (No. 121)
One atom of each set of equivalent atoms:
La: 0.160 0.160 0.379 x8
Pr: 0.000 0.500 0.000 x4
Pr: 0.183 0.183 0.181 x8
Tm: 0.000 0.000 0.000 x2

Results
For the density, the calculation gives 6.54 Mg/m³.

<2>
A plane-wave DFT calculation with PBE was carried out for crystalline La4Pr6Tm at its relaxed geometry.

a b c (Å): 6.958 6.958 16.824
angles (deg): 90.00 90.00 90.00
Space group I-42m (No. 121)
One atom of each set of equivalent atoms:
La: 0.185 0.185 0.320 x8
Pr: 0.000 0.500 0.000 x4
Pr: 0.167 0.167 0.115 x8
Tm: 0.000 0.000 0.500 x2

Results
For the density, the calculation gives 6.40 Mg/m³.

Stability, descending: <1>, <2>

<1>
A plane-wave DFT calculation with PBE was carried out for crystalline La2Pr3Tm3 at its relaxed geometry.

a b c (Å): 5.113 5.176 20.578
angles (deg): 90.00 90.00 90.00
Space group Immm (No. 71)
One atom of each set of equivalent atoms:
La: 0.000 0.000 0.250 x4
Pr: 0.000 0.000 0.000 x2
Pr: 0.000 0.500 0.122 x4
Tm: 0.000 0.000 0.500 x2
Tm: 0.000 0.500 0.377 x4

Results
For the density, the calculation gives 7.36 Mg/m³.

<2>
A plane-wave DFT calculation with PBE was carried out for crystalline La2Pr3Tm3 at its relaxed geometry.

a b c (Å): 3.645 17.978 17.044
angles (deg): 90.00 90.00 90.00
Space group Cmcm (No. 63)
One atom of each set of equivalent atoms:
La: 0.000 0.212 0.149 x8
Pr: 0.000 0.358 0.020 x8
Pr: 0.000 0.389 0.250 x4
Tm: 0.000 0.009 0.100 x8
Tm: 0.000 0.425 0.750 x4

Results
For the density, the calculation gives 7.18 Mg/m³.

Stability, descending: <1>, <2>

<1>
A plane-wave DFT calculation with PBE was carried out for crystalline La6Pr12Tm at its relaxed geometry.

a b c (Å): 12.4825 12.4825 15.4291
angles (deg): 90.00 90.00 120.00
Space group R-3 (No. 148, hexagonal axes)
One atom of each set of equivalent atoms:
La: 0.0142 0.5924 0.1875 x18
Pr: 0.0062 0.8326 0.3114 x18
Pr: 0.0512 0.1985 0.9166 x18
Tm: 0.0000 0.0000 0.5000 x3

Results
For the density, the calculation gives 6.44 Mg/m³.

<2>
A plane-wave DFT calculation with PBE was carried out for crystalline La6Pr12Tm at its relaxed geometry.

a b c (Å): 16.7862 16.7862 8.6772
angles (deg): 90.00 90.00 120.00
Space group R-3m (No. 166, hexagonal axes)
One atom of each set of equivalent atoms:
La: 0.0844 0.1687 0.1484 x18
Pr: 0.0000 0.3788 0.0000 x18
Pr: 0.0939 0.5470 0.3166 x18
Tm: 0.0000 0.0000 0.5000 x3

Results
For the density, the calculation gives 6.34 Mg/m³.

Stability, descending: <1>, <2>

<1>
A plane-wave DFT calculation with PBE was carried out for crystalline LaPr5Tm2 at its relaxed geometry.

a b c (Å): 7.322 14.647 5.165
angles (deg): 90.00 90.00 90.00
Space group Pbam (No. 55)
One atom of each set of equivalent atoms:
La: 0.000 0.000 0.000 x2
Pr: 0.000 0.500 0.000 x2
Pr: 0.002 0.251 0.000 x4
Pr: 0.249 0.625 0.500 x4
Tm: 0.249 0.874 0.500 x4

Results
For the density, the calculation gives 7.08 Mg/m³.

<2>
A plane-wave DFT calculation with PBE was carried out for crystalline LaPr5Tm2 at its relaxed geometry.

a b c (Å): 3.631 11.441 13.525
angles (deg): 90.00 90.00 90.00
Space group Immm (No. 71)
One atom of each set of equivalent atoms:
La: 0.000 0.000 0.000 x2
Pr: 0.000 0.229 0.367 x8
Pr: 0.000 0.500 0.000 x2
Tm: 0.000 0.500 0.258 x4

Results
For the density, the calculation gives 6.98 Mg/m³.

Stability, descending: <1>, <2>

<1>
A plane-wave DFT calculation with PBE was carried out for crystalline La5Pr2Tm4 at its relaxed geometry.

a b c (Å): 3.573 9.291 23.759
angles (deg): 90.00 90.00 90.00
Space group Immm (No. 71)
One atom of each set of equivalent atoms:
La: 0.000 0.000 0.000 x2
La: 0.000 0.300 0.357 x8
Pr: 0.000 0.500 0.232 x4
Tm: 0.000 0.180 0.500 x4
Tm: 0.000 0.500 0.095 x4

Results
For the density, the calculation gives 6.96 Mg/m³.

<2>
A plane-wave DFT calculation with PBE was carried out for crystalline La5Pr2Tm4 at its relaxed geometry.

a b c (Å): 18.216 3.613 12.336
angles (deg): 90.00 107.17 90.00
Space group C2/m (No. 12)
One atom of each set of equivalent atoms:
La: 0.000 0.000 0.000 x2
La: 0.116 0.500 0.518 x4
La: 0.166 0.500 0.009 x4
Pr: 0.174 0.000 0.285 x4
Tm: 0.006 0.500 0.750 x4
Tm: 0.170 0.000 0.769 x4

Results
For the density, the calculation gives 7.07 Mg/m³.

Stability, descending: <2>, <1>

<1>
A plane-wave DFT calculation with PBE was carried out for crystalline LaPr4Tm at its relaxed geometry.

a b c (Å): 5.220 15.745 5.175
angles (deg): 90.00 90.00 90.00
Space group Cmmm (No. 65)
One atom of each set of equivalent atoms:
La: 0.000 0.000 0.000 x2
Pr: 0.000 0.166 0.500 x4
Pr: 0.000 0.335 0.000 x4
Tm: 0.000 0.500 0.500 x2

Results
For the density, the calculation gives 6.80 Mg/m³.

<2>
A plane-wave DFT calculation with PBE was carried out for crystalline LaPr4Tm at its relaxed geometry.

a b c (Å): 12.020 3.509 11.755
angles (deg): 90.00 119.40 90.00
Space group C2/m (No. 12)
One atom of each set of equivalent atoms:
La: 0.000 0.000 0.000 x2
Pr: 0.186 0.000 0.841 x4
Pr: 0.193 0.000 0.348 x4
Tm: 0.000 0.000 0.500 x2

Results
For the density, the calculation gives 6.70 Mg/m³.

Stability, descending: <1>, <2>

<1>
A plane-wave DFT calculation with PBE was carried out for crystalline La3Pr3Tm at its relaxed geometry.

a b c (Å): 11.927 11.663 7.391
angles (deg): 90.00 90.04 90.00
Space group C2/m (No. 12)
One atom of each set of equivalent atoms:
La: 0.000 0.000 0.246 x4
La: 0.250 0.249 0.753 x8
Pr: 0.000 0.283 0.500 x4
Pr: 0.000 0.306 0.000 x4
Pr: 0.217 0.500 0.500 x4
Tm: 0.233 0.500 0.999 x4

Results
For the density, the calculation gives 6.51 Mg/m³.

<2>
A plane-wave DFT calculation with PBE was carried out for crystalline La3Pr3Tm at its relaxed geometry.

a b c (Å): 9.8985 9.8985 5.9518
angles (deg): 90.00 90.00 120.00
Space group P6_3/m (No. 176)
One atom of each set of equivalent atoms:
La: 0.0473 0.8049 0.2500 x6
Pr: 0.0956 0.6153 0.7500 x6
Tm: 0.3333 0.6667 0.2500 x2

Results
For the density, the calculation gives 6.63 Mg/m³.

Stability, descending: <2>, <1>